The following is a DFT calculation (PBE) of an optimized crystal structure of HfCrS2.

Computed properties:
Its relative energy among the computed polymorphs is 372 meV/atom. Its spin magnetization is 0.00 μB per formula unit.

Geometry as POSCAR:
```
HfCrS2
1.0
1.3094 8.0959 1.3165
2.9878 7.6554 -1.2083
-0.0215 8.1800 -1.4417
Cr S Hf
1 2 1
Direct
0.5000 0.5000 0.5000
0.8949 0.8949 0.8949
0.1051 0.1051 0.1051
0.0000 0.0000 0.0000
```

The following is a DFT calculation (PBE) of an optimized crystal structure of HfCrS3.

Computed properties:
Its relative energy among the computed polymorphs is 923 meV/atom. Its spin magnetization is 3.40 μB per formula unit.

Geometry as POSCAR:
```
HfCrS3
1.0
4.4911 0.0000 0.0000
0.0000 4.4911 0.0000
0.0000 0.0000 4.4911
Cr S Hf
1 3 1
Direct
0.0000 0.0000 0.0000
0.0000 0.5000 0.0000
0.0000 0.0000 0.5000
0.5000 0.0000 0.0000
0.5000 0.5000 0.5000
```

The following is a DFT calculation (PBE) of an optimized crystal structure of Hf3CrS8.

Computed properties:
The total energy comes out at -7.318 eV per atom. Its spin magnetization is 2.16 μB per formula unit.

Geometry as POSCAR:
```
Hf3CrS8
1.0
7.0992 0.0000 0.0000
-3.5496 5.0455 -3.5193
0.0000 0.4828 7.9598
Hf Cr S
3 1 8
Direct
0.5000 0.0000 0.0000
0.5000 0.5000 0.0000
0.0000 0.5000 0.0000
0.0000 0.0000 0.0000
0.2591 0.5181 0.7801
0.7409 0.4819 0.2199
0.2471 0.0170 0.7897
0.7699 0.0170 0.7897
0.7698 0.5396 0.7896
0.2302 0.4604 0.2104
0.2301 0.9830 0.2103
0.7529 0.9830 0.2103
```

The following is a DFT calculation (PBE) of an optimized crystal structure of HfCrS3.

Computed properties:
Its relative energy among the computed polymorphs is 0 meV/atom. Its spin magnetization is 3.78 μB per formula unit.

Geometry as POSCAR:
```
HfCrS3
1.0
3.6097 0.0000 0.0000
0.0000 6.1963 0.0000
-1.8048 0.0000 9.6357
Hf Cr S
2 2 6
Direct
0.3383 0.5052 0.6765
0.6617 0.0052 0.3235
0.8350 0.9787 0.6700
0.1650 0.4787 0.3300
0.9013 0.3164 0.8026
0.0987 0.8164 0.1974
0.5972 0.3390 0.1945
0.4028 0.8390 0.8055
0.7492 0.6548 0.4984
0.2508 0.1548 0.5016
```

The following is a DFT calculation (PBE) of an optimized crystal structure of HfCr2S.

Computed properties:
Its relative energy among the computed polymorphs is 289 meV/atom. Its spin magnetization is 2.25 μB per formula unit.

Geometry as POSCAR:
```
HfCr2S
1.0
-2.8975 -3.1331 -0.0008
-2.3324 -0.7502 3.4941
-4.1620 0.9427 0.0302
Cr S Hf
2 1 1
Direct
0.2500 0.2500 0.2500
0.7500 0.7500 0.7500
0.0000 0.0000 0.0000
0.5000 0.5000 0.5000
```

The following is a DFT calculation (PBE) of an optimized crystal structure of HfCr3S.

Computed properties:
Its relative energy among the computed polymorphs is 0 meV/atom. Its spin magnetization is 2.36 μB per formula unit.

Geometry as POSCAR:
```
HfCr3S
1.0
-4.0379 -1.1033 0.3695
1.1600 -3.9215 0.9669
0.0910 1.0311 4.0727
Cr S Hf
3 1 1
Direct
0.0000 0.5000 0.0000
0.0000 0.0000 0.5000
0.5000 0.0000 0.0000
0.0000 0.0000 0.0000
0.5000 0.5000 0.5000
```

The following is a DFT calculation (PBE) of an optimized crystal structure of HfCr3S.

Computed properties:
Its relative energy among the computed polymorphs is 2142 meV/atom. Its spin magnetization is 0.00 μB per formula unit.

Geometry as POSCAR:
```
HfCr3S
1.0
-0.6710 -0.6720 -4.4693
4.4991 -0.5285 -0.5960
-0.4293 -4.4884 0.7393
Cr S Hf
3 1 1
Direct
0.0000 0.5000 0.0000
0.0000 0.0000 0.5000
0.5000 0.0000 0.0000
0.5000 0.5000 0.5000
0.0000 0.0000 0.0000
```

The following is a DFT calculation (PBE) of an optimized crystal structure of Hf3CrS.

Computed properties:
Its relative energy among the computed polymorphs is 0 meV/atom. Its spin magnetization is 3.32 μB per formula unit.

Geometry as POSCAR:
```
Hf3CrS
1.0
-4.2173 -2.0397 -0.7118
2.1374 -3.7126 -2.0251
0.3140 -2.1234 4.2243
Cr S Hf
1 1 3
Direct
0.5000 0.5000 0.5000
0.0000 0.0000 0.0000
0.0000 0.5000 0.0000
0.0000 0.0000 0.5000
0.5000 0.0000 0.0000
```